No. 1
{
  "formula": "ZrSc2Co",
  "functional": "PBE-GGA",
  "state": "optimized geometry",
  "lattice": [[-4.092, 1.449, -3.768], [-4.924, -2.962, -0.120], [3.594, 3.248, 3.094]],
  "species": ["Sc", "Co", "Zr", "Sc"],
  "fractional_positions": [[0.045, 0.045, 0.000], [0.250, 0.750, 0.500], [0.750, 0.250, 0.500], [0.455, 0.455, 0.000]],
  "formation_enthalpy_0k_mev_per_atom": -150,
  "de_polymorph_mev_per_atom": 63.4,
  "total_energy_ev_per_cell": -28.9
}

=====

No. 2
{
  "formula": "Te2IrAu",
  "functional": "PBE-GGA",
  "state": "optimized geometry",
  "lattice": [[-4.787, 1.059, 0.194], [0.904, -3.769, -3.024], [-2.160, -4.131, 1.549]],
  "species": ["Te", "Ir", "Te", "Au"],
  "fractional_positions": [[0.000, 0.000, 0.000], [0.500, 0.500, 0.000], [0.500, 0.000, 0.500], [0.000, 0.500, 0.500]],
  "de_polymorph_mev_per_atom": 484.7,
  "raw_formation_energy_kj_per_mol_fu": 127.0,
  "total_energy_ev_per_cell": -17.1
}

=====

No. 3
{
  "formula": "KGaO2",
  "functional": "PBE-GGA",
  "state": "optimized geometry",
  "lattice": [[-1.774, 0.856, 3.850], [-4.899, -0.270, -2.197], [1.880, -6.149, -0.196]],
  "species": ["Ga", "K", "O", "O", "O", "O", "Ga", "K"],
  "fractional_positions": [[0.518, 0.750, 0.000], [0.500, 0.000, 0.500], [0.416, 0.551, 0.187], [0.584, 0.449, 0.813], [0.229, 0.949, 0.813], [0.771, 0.051, 0.187], [0.482, 0.250, 0.000], [0.000, 0.500, 0.500]],
  "raw_formation_energy_kj_per_mol_fu": -651.2,
  "total_energy_ev_per_cell": -41.6
}

=====

No. 4
{
  "formula": "CeHfS",
  "functional": "PBE-GGA",
  "state": "optimized geometry",
  "lattice": [[-1.042, -0.430, -4.992], [-3.218, -0.960, 0.754], [-0.168, 8.258, 1.946]],
  "species": ["S", "Ce", "Hf", "S", "Ce", "Hf"],
  "fractional_positions": [[0.848, 0.348, 0.695], [0.330, 0.830, 0.660], [0.249, 0.500, 0.000], [0.152, 0.652, 0.305], [0.670, 0.170, 0.340], [0.751, 0.500, 0.000]],
  "raw_formation_energy_kj_per_mol_fu": -189.6,
  "total_energy_ev_per_cell": -44.0
}

=====

No. 5
{
  "formula": "Tb4Bi3N2",
  "functional": "PBE-GGA",
  "state": "optimized geometry",
  "lattice": [[-2.611, -2.628, -0.944], [4.904, -0.117, -5.497], [2.443, -5.155, 7.591]],
  "species": ["Tb", "Bi", "Tb", "N", "Tb", "Tb", "Bi", "N", "Bi"],
  "fractional_positions": [[0.138, 0.276, 0.432], [0.589, 0.179, 0.739], [0.862, 0.724, 0.568], [0.699, 0.398, 0.368], [0.297, 0.594, 0.853], [0.703, 0.406, 0.147], [0.411, 0.821, 0.261], [0.301, 0.602, 0.632], [0.000, 0.000, 0.000]],
  "raw_formation_energy_kj_per_mol_fu": -879.8,
  "total_energy_ev_per_cell": -55.9
}

=====

No. 6
{
  "formula": "Co2PtRh6",
  "functional": "PBE-GGA",
  "state": "optimized geometry",
  "lattice": [[-0.942, -0.980, 4.708], [3.235, -6.365, -1.578], [5.839, 4.249, 1.151]],
  "species": ["Rh", "Rh", "Pt", "Pt", "Rh", "Co", "Rh", "Rh", "Rh", "Co", "Rh", "Rh", "Co", "Rh", "Rh", "Rh", "Rh", "Co"],
  "fractional_positions": [[0.817, 0.435, 0.094], [0.021, 0.741, 0.358], [0.250, 0.909, 0.091], [0.750, 0.091, 0.909], [0.979, 0.259, 0.642], [0.627, 0.367, 0.390], [0.203, 0.951, 0.736], [0.297, 0.264, 0.049], [0.703, 0.736, 0.951], [0.127, 0.390, 0.367], [0.797, 0.049, 0.264], [0.183, 0.565, 0.906], [0.373, 0.633, 0.610], [0.479, 0.642, 0.259], [0.317, 0.094, 0.435], [0.683, 0.906, 0.565], [0.521, 0.358, 0.741], [0.873, 0.610, 0.633]],
  "formation_enthalpy_0k_mev_per_atom": 153,
  "total_energy_ev_per_cell": -126.0
}

=====

No. 7
{
  "formula": "Rb2AlHg",
  "functional": "PBE-GGA",
  "state": "optimized geometry",
  "lattice": [[-0.459, 9.927, 1.557], [-2.983, -1.623, 9.468], [1.529, 4.142, 6.535]],
  "species": ["Rb", "Rb", "Hg", "Rb", "Hg", "Rb", "Al", "Al"],
  "fractional_positions": [[0.644, 0.125, 0.250], [0.106, 0.625, 0.250], [0.750, 0.250, 0.500], [0.875, 0.894, 0.750], [0.000, 0.000, 0.000], [0.375, 0.356, 0.750], [0.250, 0.750, 0.500], [0.500, 0.500, 0.000]],
  "formation_enthalpy_0k_mev_per_atom": 318,
  "de_polymorph_mev_per_atom": 51.7,
  "total_energy_ev_per_cell": -9.4
}

=====

No. 8
{
  "formula": "CuIr2Se",
  "functional": "PBE-GGA",
  "state": "optimized geometry",
  "lattice": [[2.830, 0.000, 0.000], [0.000, 2.830, 0.000], [0.000, 0.000, 7.642]],
  "species": ["Cu", "Se", "Ir", "Ir"],
  "fractional_positions": [[0.500, 0.500, 0.772], [0.000, 0.000, 0.486], [0.500, 0.500, 0.239], [0.000, 0.000, 0.002]],
  "raw_formation_energy_kj_per_mol_fu": 128.4,
  "total_energy_ev_per_cell": -24.0
}

=====

No. 9
{
  "formula": "PmSmPdPb",
  "functional": "PBE-GGA",
  "state": "optimized geometry",
  "lattice": [[5.328, 0.000, 0.000], [2.664, 4.614, 0.000], [2.664, 1.538, 4.350]],
  "species": ["Pm", "Pd", "Sm", "Pb"],
  "fractional_positions": [[0.250, 0.250, 0.250], [0.000, 0.000, 0.000], [0.750, 0.750, 0.750], [0.500, 0.500, 0.500]],
  "formation_enthalpy_0k_mev_per_atom": -591,
  "total_energy_ev_per_cell": -20.7
}

=====

No. 10
{
  "formula": "Ni6IrPt8",
  "functional": "PBE-GGA",
  "state": "optimized geometry",
  "lattice": [[-0.131, 2.700, -0.476], [-5.761, -1.590, -7.422], [-3.682, 1.353, 8.684]],
  "species": ["Ni", "Pt", "Pt", "Ni", "Pt", "Ni", "Pt", "Pt", "Ir", "Pt", "Ni", "Ni", "Ni", "Pt", "Pt"],
  "fractional_positions": [[0.255, 0.610, 0.091], [0.236, 0.778, 0.694], [0.242, 0.333, 0.667], [0.745, 0.520, 0.610], [0.236, 0.916, 0.222], [0.745, 0.091, 0.480], [0.764, 0.084, 0.778], [0.764, 0.694, 0.916], [0.500, 0.000, 0.000], [0.764, 0.222, 0.306], [0.255, 0.909, 0.520], [0.255, 0.480, 0.390], [0.745, 0.390, 0.909], [0.758, 0.667, 0.333], [0.236, 0.306, 0.084]],
  "formation_enthalpy_0k_mev_per_atom": 170,
  "total_energy_ev_per_cell": -89.3
}

=====

No. 11
{
  "formula": "CaGa2Ag3",
  "functional": "PBE-GGA",
  "state": "optimized geometry",
  "lattice": [[-0.030, -3.476, 2.699], [8.071, 2.588, -0.164], [-4.830, 3.800, 4.840]],
  "species": ["Ag", "Ca", "Ga", "Ca", "Ga", "Ga", "Ag", "Ag", "Ag", "Ag", "Ag", "Ga"],
  "fractional_positions": [[0.686, 0.371, 0.447], [0.854, 0.708, 0.930], [0.200, 0.401, 0.709], [0.146, 0.292, 0.070], [0.484, 0.968, 0.831], [0.800, 0.599, 0.291], [0.962, 0.923, 0.631], [0.602, 0.204, 0.694], [0.398, 0.796, 0.306], [0.038, 0.077, 0.369], [0.314, 0.629, 0.553], [0.516, 0.032, 0.169]],
  "formation_enthalpy_0k_mev_per_atom": -205,
  "total_energy_ev_per_cell": -35.7
}

=====

No. 12
{
  "formula": "Si3NiCl",
  "functional": "PBE-GGA",
  "state": "optimized geometry",
  "lattice": [[4.483, 0.000, 0.000], [0.000, 4.483, 0.000], [0.000, 0.000, 4.483]],
  "species": ["Cl", "Si", "Ni", "Si", "Si"],
  "fractional_positions": [[0.500, 0.500, 0.500], [0.000, 0.500, 0.000], [0.000, 0.000, 0.000], [0.500, 0.000, 0.000], [0.000, 0.000, 0.500]],
  "de_polymorph_mev_per_atom": 0.0,
  "raw_formation_energy_kj_per_mol_fu": 165.2,
  "total_energy_ev_per_cell": -22.2
}